[1]
Density functional theory data (GGA-PBE) for an optimized crystal structure of Ba4AsSeCl2.

Cell lengths 8.0160, 4.7125, 8.1493 Å; angles 90.00, 109.82, 90.00 degrees
Closest atoms and distances in Å follow each position.
Positions (direct):
Ba1 0.2351 0.0000 0.2403  2 As 3.23, 1 Se 3.28, 3 Cl 3.34-3.39
Ba2 0.2357 0.5000 0.7505  1 As 3.21, 2 Se 3.27, 3 Cl 3.35-3.40
Ba3 0.7643 0.5000 0.2495  1 As 3.21, 2 Se 3.27, 3 Cl 3.35-3.40
Ba4 0.7649 0.0000 0.7597  2 As 3.23, 1 Se 3.28, 3 Cl 3.34-3.39
As1 0.0000 0.5000 0.0000  6 Ba 3.21-3.23
Se1 0.0000 0.0000 0.5000  6 Ba 3.27-3.28
Cl1 0.5000 0.0000 0.0000  6 Ba 3.34-3.35
Cl2 0.5000 0.5000 0.5000  6 Ba 3.39-3.40

Results
The raw total energy comes out at -4.272 eV per atom. Its space-group type is P2/m. As for the density of states at the Fermi level: 3.3 states/eV per cell. Its uncorrected formation energy is -1.832 eV per atom.

[2]
Density functional theory data (GGA-PBE) for an optimized crystal structure of Ba3AsSeCl.

Cell lengths 8.2758, 4.7406, 11.5733 Å; angles 90.00, 90.01, 90.00 degrees
Closest atoms and distances in Å follow each position.
Positions (direct):
Ba1 0.0800 0.2500 0.1812  2 As 3.19, 1 Se 3.25, 3 Cl 3.50-3.52
Ba2 0.2394 0.7500 0.5014  3 As 3.38, 3 Se 3.45-3.47
Ba3 0.4100 0.2500 0.8172  1 As 3.15, 2 Se 3.22, 3 Cl 3.39-3.47
Ba4 0.5900 0.7500 0.1828  1 As 3.15, 2 Se 3.22, 3 Cl 3.39-3.47
Ba5 0.7606 0.2500 0.4986  3 As 3.38, 3 Se 3.45-3.47
Ba6 0.9200 0.7500 0.8188  2 As 3.19, 1 Se 3.25, 3 Cl 3.50-3.52
As1 0.0838 0.2500 0.6770  6 Ba 3.15-3.38
As2 0.9162 0.7500 0.3230  6 Ba 3.15-3.38
Se1 0.4175 0.2500 0.3257  6 Ba 3.22-3.47
Se2 0.5825 0.7500 0.6743  6 Ba 3.22-3.47
Cl1 0.2610 0.7500 0.9975  6 Ba 3.39-3.52
Cl2 0.7390 0.2500 0.0025  6 Ba 3.39-3.52

Results
The raw total energy comes out at -4.419 eV per atom. Its space-group type is P2_1/m. Its uncorrected formation energy is -1.794 eV per atom.

[3]
Density functional theory data (GGA-PBE) for an optimized crystal structure of Ba8As3SeCl4.

Cell lengths 9.3709, 9.3709, 9.3709 Å; angles 60.69, 60.69, 60.69 degrees
Closest atoms and distances in Å follow each position.
Positions (direct):
Ba1 0.2382 0.7465 0.7465  2 As 3.23, 1 Se 3.29, 3 Cl 3.38-3.43
Ba2 0.2441 0.2441 0.2441  3 As 3.25, 3 Cl 3.41
Ba3 0.2535 0.2535 0.7618  2 As 3.23, 1 Se 3.29, 3 Cl 3.38-3.43
Ba4 0.2535 0.7618 0.2535  2 As 3.23, 1 Se 3.29, 3 Cl 3.38-3.43
Ba5 0.7465 0.2382 0.7465  2 As 3.23, 1 Se 3.29, 3 Cl 3.38-3.43
Ba6 0.7465 0.7465 0.2382  2 As 3.23, 1 Se 3.29, 3 Cl 3.38-3.43
Ba7 0.7559 0.7559 0.7559  3 As 3.25, 3 Cl 3.41
Ba8 0.7618 0.2535 0.2535  2 As 3.23, 1 Se 3.29, 3 Cl 3.38-3.43
As1 0.0000 0.0000 0.5000  6 Ba 3.23-3.25
As2 0.0000 0.5000 0.0000  6 Ba 3.23-3.25
As3 0.5000 0.0000 0.0000  6 Ba 3.23-3.25
Se1 0.5000 0.5000 0.5000  6 Ba 3.29
Cl1 0.0000 0.0000 0.0000  6 Ba 3.38
Cl2 0.0000 0.5000 0.5000  6 Ba 3.41-3.43
Cl3 0.5000 0.0000 0.5000  6 Ba 3.41-3.43
Cl4 0.5000 0.5000 0.0000  6 Ba 3.41-3.43

Results
The raw total energy comes out at -4.282 eV per atom. Its space-group type is R-3m. As for the density of states at the Fermi level: 3.6 states/eV per cell. Its uncorrected formation energy is -1.769 eV per atom.

[4]
Density functional theory data (GGA-PBE) for an optimized crystal structure of BaAsSe2Cl.

Cell lengths 5.4446, 5.4446, 4.8086 Å; angles 90.00, 90.00, 90.00 degrees
Closest atoms and distances in Å follow each position.
Positions (direct):
Ba1 0.0000 0.0000 0.0000  8 Se 3.63, 4 As 3.85
As1 0.5000 0.5000 0.0000  2 Cl 2.40
Se1 0.0000 0.5000 0.5000  2 Cl 2.72
Se2 0.5000 0.0000 0.5000  2 Cl 2.72
Cl1 0.5000 0.5000 0.5000  2 As 2.40

Results
The raw total energy comes out at -3.259 eV per atom. Its space-group type is P4/mmm. As for the density of states at the Fermi level: 6.0 states/eV per cell. For the energy above the most stable polymorph in this dataset, the calculation gives 0.0 meV per atom. Its uncorrected formation energy is -0.182 eV per atom.

[5]
Density functional theory data (GGA-PBE) for an optimized crystal structure of BaAs2SeCl.

Cell lengths 5.0432, 5.0432, 5.4955 Å; angles 90.00, 90.00, 90.00 degrees
Closest atoms and distances in Å follow each position.
Positions (direct):
Ba1 0.0000 0.0000 0.0000  4 Se 3.57, 8 As 3.73
As1 0.0000 0.5000 0.5000  2 Cl 2.52
As2 0.5000 0.0000 0.5000  2 Cl 2.52
Se1 0.5000 0.5000 0.0000  2 Cl 2.75
Cl1 0.5000 0.5000 0.5000  4 As 2.52, 2 Se 2.75

Results
The raw total energy comes out at -3.326 eV per atom. Its space-group type is P4/mmm. As for the density of states at the Fermi level: 4.7 states/eV per cell. For the energy above the most stable polymorph in this dataset, the calculation gives 0.0 meV per atom. Its uncorrected formation energy is -0.015 eV per atom.

[6]
Density functional theory data (GGA-PBE) for an optimized crystal structure of Ba6As2Se3Cl.

Cell lengths 10.6439, 10.6439, 9.6469 Å; angles 103.34, 103.34, 25.20 degrees
Closest atoms and distances in Å follow each position.
Positions (direct):
Ba1 0.0018 0.0018 0.2622  1 As 3.26, 3 Se 3.27-3.32, 2 Cl 3.43
Ba2 0.3283 0.3283 0.9140  2 As 3.32, 3 Se 3.32-3.35, 1 Cl 3.47
Ba3 0.3310 0.3310 0.4153  3 As 3.38-3.39, 3 Se 3.38-3.41
Ba4 0.6690 0.6690 0.5847  3 As 3.38-3.39, 3 Se 3.38-3.41
Ba5 0.6717 0.6717 0.0860  2 As 3.32, 3 Se 3.32-3.35, 1 Cl 3.47
Ba6 0.9982 0.9982 0.7378  1 As 3.26, 3 Se 3.27-3.32, 2 Cl 3.43
As1 0.1631 0.1631 0.3273  6 Ba 3.26-3.39
As2 0.8369 0.8369 0.6726  6 Ba 3.26-3.39
Se1 0.1625 0.1625 0.8357  6 Ba 3.32-3.38
Se2 0.5000 0.5000 0.5000  6 Ba 3.27-3.41
Se3 0.8375 0.8375 0.1643  6 Ba 3.32-3.38
Cl1 0.5000 0.5000 0.0000  6 Ba 3.43-3.47

Results
The raw total energy comes out at -4.460 eV per atom. Its space-group type is C2/m. As for the density of states at the Fermi level: 10.6 states/eV per cell. Its uncorrected formation energy is -1.699 eV per atom.

[7]
Density functional theory data (GGA-PBE) for an optimized crystal structure of Ba6AsSe3Cl2.

Cell lengths 8.1289, 8.1289, 8.1269 Å; angles 99.58, 99.58, 119.98 degrees
Closest atoms and distances in Å follow each position.
Positions (direct):
Ba1 0.0850 0.4070 0.7547  3 Se 3.26-3.35, 1 As 3.27, 2 Cl 3.38
Ba2 0.2369 0.2369 0.2454  1 As 3.26, 3 Se 3.29-3.38, 2 Cl 3.37
Ba3 0.4070 0.0850 0.7547  3 Se 3.26-3.35, 1 As 3.27, 2 Cl 3.38
Ba4 0.5930 0.9150 0.2453  3 Se 3.26-3.35, 1 As 3.27, 2 Cl 3.38
Ba5 0.7631 0.7631 0.7546  1 As 3.26, 3 Se 3.29-3.38, 2 Cl 3.37
Ba6 0.9150 0.5930 0.2453  3 Se 3.26-3.35, 1 As 3.27, 2 Cl 3.38
As1 0.0000 0.0000 0.5000  6 Ba 3.26-3.27
Se1 0.1691 0.8309 0.0000  6 Ba 3.26-3.35
Se2 0.5000 0.5000 0.0000  6 Ba 3.26-3.38
Se3 0.8309 0.1691 0.0000  6 Ba 3.26-3.35
Cl1 0.3339 0.6661 0.5000  6 Ba 3.37-3.38
Cl2 0.6661 0.3339 0.5000  6 Ba 3.37-3.38

Results
The raw total energy comes out at -4.439 eV per atom. Its space-group type is C2/m. As for the density of states at the Fermi level: 3.9 states/eV per cell. Its uncorrected formation energy is -1.911 eV per atom.

[8]
Density functional theory data (GGA-PBE) for an optimized crystal structure of BaAsSe2Cl.

Cell lengths 6.2841, 6.2841, 6.4750 Å; angles 90.00, 90.00, 90.00 degrees
Closest atoms and distances in Å follow each position.
Positions (direct):
Ba1 0.0000 0.0000 0.0000  4 Se 3.14, 2 As 3.24
As1 0.0000 0.0000 0.5000  2 Ba 3.24
Se1 0.0000 0.5000 0.0000  2 Ba 3.14
Se2 0.5000 0.0000 0.0000  2 Ba 3.14
Cl1 0.5000 0.5000 0.5000  4 As 4.44, 8 Se 4.51

Results
The raw total energy comes out at -2.460 eV per atom. Its space-group type is P4/mmm. As for the density of states at the Fermi level: 12.7 states/eV per cell. For the energy above the most stable polymorph in this dataset, the calculation gives 799.4 meV per atom. Its uncorrected formation energy is 0.618 eV per atom.

[9]
Density functional theory data (GGA-PBE) for an optimized crystal structure of BaAs2SeCl.

Cell lengths 6.5553, 6.5553, 6.2759 Å; angles 90.00, 90.00, 90.00 degrees
Closest atoms and distances in Å follow each position.
Positions (direct):
Ba1 0.0000 0.0000 0.0000  2 Se 3.14, 4 As 3.28
As1 0.0000 0.5000 0.0000  2 Ba 3.28
As2 0.5000 0.0000 0.0000  2 Ba 3.28
Se1 0.0000 0.0000 0.5000  2 Ba 3.14
Cl1 0.5000 0.5000 0.5000  8 As 4.54, 4 Se 4.64

Results
The raw total energy comes out at -2.534 eV per atom. Its space-group type is P4/mmm. As for the density of states at the Fermi level: 11.0 states/eV per cell. For the energy above the most stable polymorph in this dataset, the calculation gives 792.0 meV per atom. Its uncorrected formation energy is 0.777 eV per atom.

[10]
Density functional theory data (GGA-PBE) for an optimized crystal structure of BaAsSeCl2.

Cell lengths 4.8746, 4.8746, 7.1474 Å; angles 90.00, 90.00, 90.00 degrees
Closest atoms and distances in Å follow each position.
Positions (direct):
Ba1 0.0000 0.0000 0.0000  4 Se 3.45, 2 As 3.57
As1 0.0000 0.0000 0.5000  4 Cl 2.44
Se1 0.5000 0.5000 0.0000  4 Ba 3.45
Cl1 0.0000 0.5000 0.5000  2 As 2.44
Cl2 0.5000 0.0000 0.5000  2 As 2.44

Results
The raw total energy comes out at -3.504 eV per atom. Its space-group type is P4/mmm. As for the density of states at the Fermi level: 4.9 states/eV per cell. Its uncorrected formation energy is -0.754 eV per atom.

[11]
Density functional theory data (GGA-PBE) for an optimized crystal structure of Ba6SnAs2Cl3.

Cell lengths 11.1775, 11.1775, 9.6686 Å; angles 101.02, 101.02, 23.99 degrees
Closest atoms and distances in Å follow each position.
Positions (direct):
Ba1 0.0186 0.0186 0.2715  1 As 3.22, 2 Cl 3.29, 2 Sn 3.47
Ba2 0.3207 0.3207 0.4157  3 As 3.26, 2 Cl 3.42
Ba3 0.3352 0.3352 0.8985  2 As 3.29, 3 Cl 3.31-3.47, 1 Sn 3.54
Ba4 0.6648 0.6648 0.1015  2 As 3.29, 3 Cl 3.31-3.47, 1 Sn 3.54
Ba5 0.6793 0.6793 0.5843  3 As 3.26, 2 Cl 3.42
Ba6 0.9814 0.9814 0.7285  1 As 3.22, 2 Cl 3.29, 2 Sn 3.47
Sn1 0.5000 0.5000 0.0000  6 Ba 3.47-3.54
As1 0.1686 0.1686 0.3440  6 Ba 3.22-3.29
As2 0.8314 0.8314 0.6560  6 Ba 3.22-3.29
Cl1 0.1808 0.1808 0.8443  5 Ba 3.31-3.47
Cl2 0.5000 0.5000 0.5000  4 Ba 3.29
Cl3 0.8192 0.8192 0.1557  5 Ba 3.31-3.47

Results
The raw total energy comes out at -4.047 eV per atom. Its space-group type is C2/m. As for the density of states at the Fermi level: 5.6 states/eV per cell. Its uncorrected formation energy is -1.516 eV per atom.

[12]
Density functional theory data (GGA-PBE) for an optimized crystal structure of BaSn2As2Cl.

Cell lengths 8.3106, 5.7995, 8.9554 Å; angles 90.00, 113.44, 90.00 degrees
Closest atoms and distances in Å follow each position.
Positions (direct):
Ba1 0.1020 0.2500 0.2544  3 Cl 3.13-3.15
Ba2 0.8980 0.7500 0.7456  3 Cl 3.13-3.15
Sn1 0.4904 0.0009 0.1766  1 As 2.77, 2 Sn 2.89-2.91
Sn2 0.4904 0.4991 0.1766  1 As 2.77, 2 Sn 2.89-2.91
Sn3 0.5096 0.5009 0.8234  1 As 2.77, 2 Sn 2.89-2.91
Sn4 0.5096 0.9991 0.8234  1 As 2.77, 2 Sn 2.89-2.91
As1 0.2354 0.7500 0.6000  1 As 2.50, 2 Sn 2.77
As2 0.4498 0.7500 0.4686  1 As 2.50
As3 0.5502 0.2500 0.5314  1 As 2.50
As4 0.7646 0.2500 0.4000  1 As 2.50, 2 Sn 2.77
Cl1 0.0173 0.2500 0.8817  3 Ba 3.13-3.15
Cl2 0.9827 0.7500 0.1183  3 Ba 3.13-3.15

Results
The raw total energy comes out at -4.160 eV per atom. Its space-group type is P2_1/m. As for the density of states at the Fermi level: 2.7 states/eV per cell. Its uncorrected formation energy is -0.648 eV per atom.